Record 1
An optimized crystal structure of Ca5Si2Pb, computed with GGA-PBE.

Properties
total moment = 0.0 μB per formula unit
symmetry = I4/mcm (140)
uncorrected energy = -58.03 eV for the cell shown
mass density = 3.34 g cm⁻³

Lattice parameters (Å, degrees): 9.3990 9.3990 9.3990 131.07 131.07 71.71
Last column: nearest neighbours and their distance in Å.
Sites, in units of the cell vectors:
Ca 0.0000 0.0000 0.0000  4 Si 3.14
Ca 0.0428 0.5428 0.8546  3 Si 3.09, 2 Pb 3.36
Ca 0.1882 0.0428 0.5000  3 Si 3.09, 2 Pb 3.36
Ca 0.3118 0.8118 0.8546  3 Si 3.09, 2 Pb 3.36
Ca 0.4572 0.3118 0.5000  3 Si 3.09, 2 Pb 3.36
Ca 0.5000 0.5000 0.0000  4 Si 3.14
Ca 0.5428 0.6882 0.5000  3 Si 3.09, 2 Pb 3.36
Ca 0.6882 0.1882 0.1454  3 Si 3.09, 2 Pb 3.36
Ca 0.8118 0.9572 0.5000  3 Si 3.09, 2 Pb 3.36
Ca 0.9572 0.4572 0.1454  3 Si 3.09, 2 Pb 3.36
Si 0.1126 0.3874 0.5000  1 Si 2.48
Si 0.3874 0.8874 0.2747  1 Si 2.48
Si 0.6126 0.1126 0.7253  1 Si 2.48
Si 0.8874 0.6126 0.5000  1 Si 2.48
Pb 0.2500 0.2500 0.0000  8 Ca 3.36
Pb 0.7500 0.7500 0.0000  8 Ca 3.36

---

Record 2
An optimized crystal structure of Ca2SiPb, computed with GGA-PBE.

Properties
total moment = 0.0 μB per formula unit
symmetry = Pmmm (47)
uncorrected energy = -14.62 eV for the cell shown
distance to the lowest polymorph of the same formula = 20 meV/atom
mass density = 4.99 g cm⁻³

Lattice parameters (Å, degrees): 3.4957 4.2296 7.1048 90.00 90.00 90.00
Last column: nearest neighbours and their distance in Å.
Sites, in units of the cell vectors:
Ca 0.0000 0.0000 0.2228  3 Ca 3.17-3.50, 4 Si 3.17, 4 Pb 3.38
Ca 0.0000 0.0000 0.7772  3 Ca 3.17-3.50, 4 Si 3.17, 4 Pb 3.38
Si 0.5000 0.5000 0.0000  8 Ca 3.17, 2 Si 3.50
Pb 0.5000 0.5000 0.5000  8 Ca 3.38, 2 Pb 3.50, 2 Si 3.55

---

What did the second record say?
An optimized crystal structure of Ca2SiPb, computed with GGA-PBE.

Properties
total moment = 0.0 μB per formula unit
symmetry = Pmmm (47)
uncorrected energy = -14.62 eV for the cell shown
distance to the lowest polymorph of the same formula = 20 meV/atom
mass density = 4.99 g cm⁻³

Lattice parameters (Å, degrees): 3.4957 4.2296 7.1048 90.00 90.00 90.00
Last column: nearest neighbours and their distance in Å.
Sites, in units of the cell vectors:
Ca 0.0000 0.0000 0.2228  3 Ca 3.17-3.50, 4 Si 3.17, 4 Pb 3.38
Ca 0.0000 0.0000 0.7772  3 Ca 3.17-3.50, 4 Si 3.17, 4 Pb 3.38
Si 0.5000 0.5000 0.0000  8 Ca 3.17, 2 Si 3.50
Pb 0.5000 0.5000 0.5000  8 Ca 3.38, 2 Pb 3.50, 2 Si 3.55